[1]
The following is a DFT calculation (PBE) of TmPu3Pd12 after structural relaxation.

Unit cell a=4.1167 b=4.1167 c=16.4693 alpha=90.00 beta=90.00 gamma=90.00
With the nearest neighbours (Å) after each atom.
Sites, in units of the cell vectors:
Tm (0.0000, 0.0000, 0.0000)  12 Pd 2.91
Pu (0.0000, 0.0000, 0.2477)  12 Pd 2.89-2.93
Pu (0.0000, 0.0000, 0.5000)  12 Pd 2.91-2.92
Pu (0.0000, 0.0000, 0.7523)  12 Pd 2.89-2.93
Pd (0.5000, 0.5000, 0.0000)  8 Pd 2.91, 4 Tm 2.91
Pd (0.5000, 0.5000, 0.2496)  8 Pd 2.91, 4 Pu 2.91
Pd (0.5000, 0.5000, 0.5000)  4 Pu 2.91, 8 Pd 2.92
Pd (0.5000, 0.5000, 0.7504)  8 Pd 2.91, 4 Pu 2.91
Pd (0.5000, 0.0000, 0.1249)  2 Pu 2.89, 8 Pd 2.91, 2 Tm 2.91
Pd (0.5000, 0.0000, 0.3744)  8 Pd 2.91-2.92, 4 Pu 2.92-2.93
Pd (0.5000, 0.0000, 0.6256)  8 Pd 2.91-2.92, 4 Pu 2.92-2.93
Pd (0.5000, 0.0000, 0.8751)  2 Pu 2.89, 8 Pd 2.91, 2 Tm 2.91
Pd (0.0000, 0.5000, 0.1249)  2 Pu 2.89, 8 Pd 2.91, 2 Tm 2.91
Pd (0.0000, 0.5000, 0.3744)  8 Pd 2.91-2.92, 4 Pu 2.92-2.93
Pd (0.0000, 0.5000, 0.6256)  8 Pd 2.91-2.92, 4 Pu 2.92-2.93
Pd (0.0000, 0.5000, 0.8751)  2 Pu 2.89, 8 Pd 2.91, 2 Tm 2.91

Output
**DFT formation energy**: -0.307 eV/atom
**Volume**: 279 Å³ per cell
**Total moment**: 0.015 μB per atom
**Density of states at the Fermi level**: 37.5 states/eV/f.u.
**Space group**: P4/mmm

[2]
The following is a DFT calculation (PBE) of YZrPb2 after structural relaxation.

Unit cell a=3.4703 b=3.4703 c=8.8561 alpha=90.00 beta=90.00 gamma=100.17
With the nearest neighbours (Å) after each atom.
Sites, in units of the cell vectors:
Pb (0.0000, 0.0000, 0.9877)  4 Zr 3.06-3.39, 2 Y 3.22
Pb (0.0000, 0.0000, 0.5123)  4 Zr 3.06-3.39, 2 Y 3.22
Y (0.5000, 0.5000, 0.2500)  8 Pb 3.22-3.53, 4 Y 3.47
Zr (0.5000, 0.5000, 0.7500)  8 Pb 3.06-3.39

Output
**DFT formation energy**: -0.269 eV/atom
**Volume**: 105 Å³ per cell
**Total moment**: 0.126 μB per atom
**Density of states at the Fermi level**: 3.0 states/eV/f.u.
**Space group**: Cmmm

[3]
The following is a DFT calculation (PBE) of MgCu2Ru after structural relaxation.

Unit cell a=3.9272 b=3.9272 c=3.5548 alpha=90.00 beta=90.00 gamma=90.00
With the nearest neighbours (Å) after each atom.
Sites, in units of the cell vectors:
Cu (0.0000, 0.0000, 0.0000)  4 Ru 2.65, 4 Mg 2.65, 4 Cu 2.78
Cu (0.5000, 0.5000, 0.0000)  4 Mg 2.65, 4 Ru 2.65, 4 Cu 2.78
Mg (0.5000, 0.0000, 0.5000)  8 Cu 2.65, 4 Ru 2.78
Ru (0.0000, 0.5000, 0.5000)  8 Cu 2.65, 4 Mg 2.78

Output
**DFT formation energy**: 0.061 eV/atom
**Volume**: 55 Å³ per cell
**Total moment**: 0.000 μB per atom
**Density of states at the Fermi level**: 1.9 states/eV/f.u.
**Space group**: P4/mmm

[4]
The following is a DFT calculation (PBE) of In2CoSe after structural relaxation.

Unit cell a=3.4742 b=3.4802 c=6.9918 alpha=69.48 beta=90.00 gamma=90.00
With the nearest neighbours (Å) after each atom.
Sites, in units of the cell vectors:
Co (0.5000, 0.7500, 0.7500)  8 In 2.75-2.99
In (0.0000, 0.0357, 0.9753)  4 Co 2.75-2.99, 2 Se 2.88, 1 In 2.98
In (0.0000, 0.4643, 0.5247)  4 Co 2.75-2.99, 2 Se 2.88, 1 In 2.98
Se (0.5000, 0.2500, 0.2500)  4 In 2.88

Output
**Volume**: 79 Å³ per cell
**Total moment**: 0.290 μB per atom
**Density of states at the Fermi level**: 1.9 states/eV/f.u.
**Space group**: P2/m
**Total energy**: -3.817 eV/atom

[5]
The following is a DFT calculation (PBE) of RbCdSiRh2 after structural relaxation.

Unit cell a=4.5690 b=5.7640 c=4.5690 alpha=90.00 beta=90.00 gamma=90.00
With the nearest neighbours (Å) after each atom.
Sites, in units of the cell vectors:
Si (0.0000, 0.0000, 0.0000)  4 Rh 2.28
Rh (0.0000, 0.0000, 0.5000)  2 Si 2.28
Rh (0.5000, 0.0000, 0.0000)  2 Si 2.28
Rb (0.0000, 0.5000, 0.0000)  2 Si 2.88
Cd (0.5000, 0.5000, 0.5000)  4 Rb 3.23

Output
**Volume**: 120 Å³ per cell
**Total moment**: 0.000 μB per atom
**Density of states at the Fermi level**: 1.6 states/eV/f.u.
**Space group**: P4/mmm
**Total energy**: -3.981 eV/atom

[6]
The following is a DFT calculation (PBE) of Th2Tl3Hg after structural relaxation.

Unit cell a=5.1625 b=3.5694 c=9.0756 alpha=90.00 beta=90.00 gamma=90.00
With the nearest neighbours (Å) after each atom.
Sites, in units of the cell vectors:
Th (0.5000, 0.0000, 0.9949)  2 Hg 3.47, 10 Tl 3.48-3.59, 2 Th 3.57
Th (0.0000, 0.0000, 0.5049)  8 Tl 3.45-3.56, 4 Hg 3.46, 2 Th 3.57
Tl (0.0000, 0.5000, 0.1659)  3 Tl 3.02-3.05
Tl (0.0000, 0.5000, 0.8298)  2 Hg 2.98, 1 Tl 3.05
Tl (0.5000, 0.5000, 0.3380)  1 Hg 2.98, 2 Tl 3.02
Hg (0.5000, 0.5000, 0.6666)  3 Tl 2.98

Output
**DFT formation energy**: -0.076 eV/atom
**Volume**: 167 Å³ per cell
**Total moment**: 0.000 μB per atom
**Density of states at the Fermi level**: 2.5 states/eV/f.u.
**Space group**: Pmm2

[7]
The following is a DFT calculation (PBE) of Ac2Sn2Pd3 after structural relaxation.

Unit cell a=4.3615 b=7.8317 c=10.5462 alpha=90.00 beta=101.93 gamma=90.00
With the nearest neighbours (Å) after each atom.
Sites, in units of the cell vectors:
Ac (0.1434, 0.2500, 0.2867)  6 Pd 3.15-3.45, 4 Sn 3.38
Ac (0.8566, 0.7500, 0.7133)  6 Pd 3.15-3.45, 4 Sn 3.38
Ac (0.9435, 0.2500, 0.8869)  9 Pd 3.23-3.61
Ac (0.0565, 0.7500, 0.1131)  9 Pd 3.23-3.61
Sn (0.6918, 0.9465, 0.3836)  4 Pd 2.77-2.91, 1 Sn 3.08
Sn (0.3082, 0.0535, 0.6164)  4 Pd 2.77-2.91, 1 Sn 3.08
Sn (0.3082, 0.4465, 0.6164)  4 Pd 2.77-2.91, 1 Sn 3.08
Sn (0.6918, 0.5535, 0.3836)  4 Pd 2.77-2.91, 1 Sn 3.08
Pd (0.2270, 0.7500, 0.4539)  6 Sn 2.77-2.91
Pd (0.7730, 0.2500, 0.5461)  6 Sn 2.77-2.91
Pd (0.5616, 0.4455, 0.1233)  1 Pd 2.68, 1 Sn 2.82
Pd (0.4384, 0.5545, 0.8767)  1 Pd 2.68, 1 Sn 2.82
Pd (0.4384, 0.9455, 0.8767)  1 Pd 2.68, 1 Sn 2.82
Pd (0.5616, 0.0545, 0.1233)  1 Pd 2.68, 1 Sn 2.82

Output
**DFT formation energy**: -0.793 eV/atom
**Volume**: 352 Å³ per cell
**Total moment**: 0.000 μB per atom
**Density of states at the Fermi level**: 3.6 states/eV/f.u.
**Space group**: Cmcm

[8]
The following is a DFT calculation (PBE) of Sm15Dy4Tm after structural relaxation.

Unit cell a=5.1005 b=5.1005 c=25.4206 alpha=90.00 beta=90.00 gamma=90.00
With the nearest neighbours (Å) after each atom.
Sites, in units of the cell vectors:
Sm (0.5000, 0.5000, 0.0000)  8 Sm 3.59, 4 Tm 3.61
Sm (0.5000, 0.5000, 0.1996)  8 Sm 3.60-3.61, 4 Dy 3.61
Sm (0.5000, 0.5000, 0.4000)  8 Sm 3.60, 4 Dy 3.61
Sm (0.5000, 0.5000, 0.6000)  8 Sm 3.60, 4 Dy 3.61
Sm (0.5000, 0.5000, 0.8004)  8 Sm 3.60-3.61, 4 Dy 3.61
Sm (0.5000, 0.0000, 0.0995)  2 Tm 3.59, 8 Sm 3.59-3.61, 2 Dy 3.60
Sm (0.5000, 0.0000, 0.2999)  4 Dy 3.60, 8 Sm 3.60-3.61
Sm (0.5000, 0.0000, 0.5000)  8 Sm 3.60-3.61, 4 Dy 3.60
Sm (0.5000, 0.0000, 0.7001)  4 Dy 3.60, 8 Sm 3.60-3.61
Sm (0.5000, 0.0000, 0.9005)  2 Tm 3.59, 8 Sm 3.59-3.61, 2 Dy 3.60
Sm (0.0000, 0.5000, 0.0995)  2 Tm 3.59, 8 Sm 3.59-3.61, 2 Dy 3.60
Sm (0.0000, 0.5000, 0.2999)  4 Dy 3.60, 8 Sm 3.60-3.61
Sm (0.0000, 0.5000, 0.5000)  8 Sm 3.60-3.61, 4 Dy 3.60
Sm (0.0000, 0.5000, 0.7001)  4 Dy 3.60, 8 Sm 3.60-3.61
Sm (0.0000, 0.5000, 0.9005)  2 Tm 3.59, 8 Sm 3.59-3.61, 2 Dy 3.60
Dy (0.0000, 0.0000, 0.1997)  12 Sm 3.60-3.61
Dy (0.0000, 0.0000, 0.4000)  12 Sm 3.60-3.61
Dy (0.0000, 0.0000, 0.6000)  12 Sm 3.60-3.61
Dy (0.0000, 0.0000, 0.8003)  12 Sm 3.60-3.61
Tm (0.0000, 0.0000, 0.0000)  12 Sm 3.59-3.61

Output
**DFT formation energy**: 0.015 eV/atom
**Volume**: 661 Å³ per cell
**Total moment**: 0.000 μB per atom
**Density of states at the Fermi level**: 27.1 states/eV/f.u.
**Space group**: P4/mmm

[9]
The following is a DFT calculation (PBE) of YMgFeBr2 after structural relaxation.

Unit cell a=5.4370 b=6.7198 c=5.4370 alpha=90.00 beta=90.00 gamma=90.00
With the nearest neighbours (Å) after each atom.
Sites, in units of the cell vectors:
Y (0.0000, 0.0000, 0.0000)  4 Br 2.72
Mg (0.0000, 0.5000, 0.0000)  2 Y 3.36
Fe (0.5000, 0.5000, 0.5000)  4 Mg 3.84
Br (0.0000, 0.0000, 0.5000)  2 Y 2.72
Br (0.5000, 0.0000, 0.0000)  2 Y 2.72

Output
**Volume**: 199 Å³ per cell
**Total moment**: 0.736 μB per atom
**Density of states at the Fermi level**: 23.8 states/eV/f.u.
**Space group**: P4/mmm
**Total energy**: -3.794 eV/atom

[10]
The following is a DFT calculation (PBE) of ErCo2AsH after structural relaxation.

Unit cell a=3.6940 b=5.3832 c=6.7829 alpha=90.00 beta=90.00 gamma=110.07
With the nearest neighbours (Å) after each atom.
Sites, in units of the cell vectors:
Er (0.4436, 0.8873, 0.7500)  4 H 2.57, 1 As 2.84
Er (0.5564, 0.1127, 0.2500)  4 H 2.57, 1 As 2.84
Co (0.1597, 0.3195, 0.9440)  1 H 1.66
Co (0.8403, 0.6805, 0.0560)  1 H 1.66
Co (0.1597, 0.3195, 0.5560)  1 H 1.66
Co (0.8403, 0.6805, 0.4440)  1 H 1.66
As (0.7249, 0.4498, 0.7500)  6 Co 2.36-2.38
As (0.2751, 0.5502, 0.2500)  6 Co 2.36-2.38
H (0.0000, 0.0000, 0.0000)  2 Co 1.66
H (0.0000, 0.0000, 0.5000)  2 Co 1.66

Output
**Volume**: 127 Å³ per cell
**Total moment**: 0.000 μB per atom
**Density of states at the Fermi level**: 2.6 states/eV/f.u.
**Space group**: Cmcm
**Total energy**: -5.938 eV/atom

[11]
The following is a DFT calculation (PBE) of NpSiBr after structural relaxation.

Unit cell a=4.8494 b=3.4733 c=9.5391 alpha=90.00 beta=104.73 gamma=90.00
With the nearest neighbours (Å) after each atom.
Sites, in units of the cell vectors:
Si (0.4546, 0.7500, 0.9091)  2 Si 2.41
Si (0.5454, 0.2500, 0.0909)  2 Si 2.41
Br (0.8299, 0.7500, 0.6599)  2 Np 2.88
Br (0.1701, 0.2500, 0.3401)  2 Np 2.88
Np (0.9543, 0.2500, 0.9087)  2 Np 2.42
Np (0.0457, 0.7500, 0.0913)  2 Np 2.42

Output
**Volume**: 155 Å³ per cell
**Total moment**: 0.000 μB per atom
**Density of states at the Fermi level**: 3.3 states/eV/f.u.
**Space group**: Cmcm
**Total energy**: -7.200 eV/atom

[12]
The following is a DFT calculation (PBE) of As3Br after structural relaxation.

Unit cell a=7.6661 b=7.6661 c=7.5046 alpha=90.00 beta=90.00 gamma=120.00
With the nearest neighbours (Å) after each atom.
Sites, in units of the cell vectors:
As (0.5000, 0.0000, 0.0000)  4 As 2.74, 2 Br 2.90
As (0.5000, 0.0000, 0.5000)  4 As 2.74, 2 Br 2.90
As (0.0000, 0.5000, 0.0000)  4 As 2.74, 2 Br 2.90
As (0.5000, 0.5000, 0.0000)  4 As 2.74, 2 Br 2.90
As (0.5000, 0.5000, 0.5000)  4 As 2.74, 2 Br 2.90
As (0.0000, 0.5000, 0.5000)  4 As 2.74, 2 Br 2.90
As (0.7928, 0.5856, 0.2500)  6 As 2.74-2.90
As (0.2072, 0.4144, 0.7500)  6 As 2.74-2.90
As (0.4144, 0.2072, 0.2500)  6 As 2.74-2.90
As (0.7928, 0.2072, 0.2500)  6 As 2.74-2.90
As (0.2072, 0.7928, 0.7500)  6 As 2.74-2.90
As (0.5856, 0.7928, 0.7500)  6 As 2.74-2.90
Br (0.0000, 0.0000, 0.0000)  6 As 3.33
Br (0.0000, 0.0000, 0.5000)  6 As 3.33
Br (0.3333, 0.6667, 0.2500)  6 As 2.90
Br (0.6667, 0.3333, 0.7500)  6 As 2.90

Output
**Volume**: 382 Å³ per cell
**Total moment**: 0.000 μB per atom
**Density of states at the Fermi level**: 2.1 states/eV/f.u.
**Space group**: P6_3/mmc
**Total energy**: -3.608 eV/atom

Q: Which formula does entry 3 have?
A: MgCu2Ru

Q: Among the records above, which one has the highest total moment?
A: YMgFeBr2